Material: Tm3HgO
Method: DFT, PBE
State: relaxed

The calculation puts the spin magnetization at 0.000 μB per atom. Its space group is Pm-3m. The value obtained for the density of states at the Fermi level is 1.828 states/eV/f.u. As for the formation energy (no corrections): -1.392 eV/atom. The value obtained for the total energy is -5.127 eV per atom.

Cell: 4.6792 4.6792 4.6792 Å, 90.00 90.00 90.00°
Closest atoms and distances in Å follow each position.
Fractional positions:
Tm1 0.0000 0.5000 0.0000  2 O 2.34
Tm2 0.0000 0.0000 0.5000  2 O 2.34
Tm3 0.5000 0.0000 0.0000  2 O 2.34
Hg1 0.5000 0.5000 0.5000  12 Tm 3.31
O1 0.0000 0.0000 0.0000  6 Tm 2.34